No. 1
## YAuF3 (PBE)

Data for crystalline YAuF3 at its relaxed geometry.

Properties
magnetization	0.000	μB/atom
formation energy (no corrections)	-2.692	eV per atom

Lattice parameters (Å, degrees): 4.452 4.452 4.452 90.00 90.00 90.00
Sites, in units of the cell vectors:
Y 0.000 0.000 0.000
Au 0.500 0.500 0.500
F 0.000 0.500 0.000
F 0.000 0.000 0.500
F 0.500 0.000 0.000

***

No. 2
## Tb3Ga6Ir5 (PBE)

Data for crystalline Tb3Ga6Ir5 at its relaxed geometry.

Properties
ΔH_f (0 K)	-10.1	eV/f.u.
magnetization	0.000	μB/atom

Lattice parameters (Å, degrees): 4.211 9.461 12.604 90.00 90.00 90.00
Sites, in units of the cell vectors:
Tb 0.000 0.252 0.699
Tb 0.500 0.748 0.199
Tb 0.500 0.748 0.801
Tb 0.000 0.259 0.000
Tb 0.500 0.741 0.500
Tb 0.000 0.252 0.301
Ga 0.000 0.977 0.846
Ga 0.500 0.023 0.654
Ga 0.500 0.406 0.821
Ga 0.500 0.580 0.000
Ga 0.000 0.420 0.500
Ga 0.000 0.594 0.679
Ga 0.000 0.594 0.321
Ga 0.500 0.953 0.000
Ga 0.000 0.977 0.154
Ga 0.500 0.406 0.179
Ga 0.000 0.047 0.500
Ga 0.500 0.023 0.346
Ir 0.000 0.535 0.885
Ir 0.000 0.869 0.653
Ir 0.000 0.789 0.000
Ir 0.500 0.465 0.615
Ir 0.500 0.211 0.500
Ir 0.000 0.535 0.115
Ir 0.500 0.465 0.385
Ir 0.000 0.869 0.347
Ir 0.500 0.131 0.847
Ir 0.500 0.131 0.153

***

No. 3
## MgFe2Pd7 (PBE)

Data for crystalline MgFe2Pd7 at its relaxed geometry.

Properties
ΔH_f (0 K)	2.7	eV/f.u.
magnetization	0.830	μB/atom

Lattice parameters (Å, degrees): 4.302 7.131 7.131 119.21 90.00 90.00
Last column: magnetic moment on the atom in μB.
Sites, in units of the cell vectors:
Mg 0.000 0.000 0.000  -0.01
Fe 0.500 0.700 0.300  3.18
Fe 0.500 0.300 0.700  3.18
Pd 0.000 0.787 0.213  0.36
Pd 0.000 0.213 0.787  0.36
Pd 0.500 0.072 0.304  0.23
Pd 0.500 0.928 0.696  0.23
Pd 0.500 0.304 0.072  0.23
Pd 0.500 0.696 0.928  0.23
Pd 0.500 0.500 0.500  0.28

***

No. 4
## K2TaRh (PBE)

Data for crystalline K2TaRh at its relaxed geometry.

Properties
ΔH_f (0 K)	3.8	eV/f.u.
magnetization	0.092	μB/atom

Lattice parameters (Å, degrees): 6.614 6.614 6.614 145.83 145.83 49.09
Last column: magnetic moment on the atom in μB.
Sites, in units of the cell vectors:
K 0.000 0.000 0.000  0.00
K 0.500 0.500 0.000  0.00
Rh 0.250 0.750 0.500  -0.02
Ta 0.750 0.250 0.500  0.24

***

No. 5
## Dy2TlPb3 (PBE)

Data for crystalline Dy2TlPb3 at its relaxed geometry.

Properties
ΔH_f (0 K)	-2.1	eV/f.u.
magnetization	0.000	μB/atom

Lattice parameters (Å, degrees): 4.620 4.717 8.106 90.00 106.56 90.00
Sites, in units of the cell vectors:
Dy 0.150 0.500 0.301
Dy 0.850 0.500 0.699
Tl 0.000 0.000 0.000
Pb 0.325 0.000 0.650
Pb 0.675 0.000 0.350
Pb 0.500 0.500 0.000

***

No. 6
## BeTl3C (PBE)

Data for crystalline BeTl3C at its relaxed geometry.

Properties
ΔH_f (0 K)	7.0	eV/f.u.
magnetization	0.000	μB/atom

Lattice parameters (Å, degrees): 4.985 4.985 4.985 90.00 90.00 90.00
Sites, in units of the cell vectors:
Be 0.500 0.500 0.500
Tl 0.000 0.500 0.000
Tl 0.000 0.000 0.500
Tl 0.500 0.000 0.000
C 0.000 0.000 0.000